(1)
Entry from OQMD via LeMat-Bulk: an optimized crystal structure of Pr3PaP4 (PBE).

The raw total energy is -7.1575 eV per atom.

The space group is Cmmm (No. 65) and the conventional cell measures 8.274, 11.680 and 4.132 Å, with angles of 90.00, 90.00 and 90.00 degrees. The asymmetric unit holds Pr at (0.000, 0.000, 0.000), Pr at (0.250, 0.250, 0.500), Pa at (0.000, 0.500, 0.000), P at (0.000, 0.260, 0.000) and P at (0.235, 0.500, 0.500).

(2)
Entry from OQMD via LeMat-Bulk: an optimized crystal structure of Pa3ReP (PBE).

The raw total energy is -8.7237 eV per atom.

The space group is Pm-3m (No. 221) and the conventional cell measures 5.022, 5.022 and 5.022 Å, with angles of 90.00, 90.00 and 90.00 degrees. The asymmetric unit holds Pa at (0.000, 0.000, 0.500), Re at (0.500, 0.500, 0.500) and P at (0.000, 0.000, 0.000).

(3)
Entry from OQMD via LeMat-Bulk: an optimized crystal structure of Pa4P3S (PBE).

The raw total energy is -8.6992 eV per atom.

The space group is Pm-3m (No. 221) and the conventional cell measures 5.586, 5.586 and 5.586 Å, with angles of 90.00, 90.00 and 90.00 degrees. The asymmetric unit holds Pa at (0.000, 0.000, 0.000), Pa at (0.000, 0.500, 0.500), P at (0.000, 0.000, 0.500) and S at (0.500, 0.500, 0.500).